The following is a PBE calculation of TaTi2ZnPb after structural relaxation, from Alexandria via LeMat-Bulk.

```
TaTi2ZnPb
1.0
4.683 0.000 0.000
0.000 4.839 0.000
0.000 0.000 4.683
Pb Ta Ti Zn
1 1 2 1
direct
0.000 0.500 0.000
0.500 0.500 0.500
0.500 0.000 0.000
0.000 0.000 0.500
0.000 0.000 0.000
```

Space group: P4/mmm, No. 123
Formation energy from the elements, eV/f.u.: 5.5

The following is a PBE calculation of KSr2Cl after structural relaxation, from Alexandria via LeMat-Bulk.

```
KSr2Cl
1.0
4.373 0.000 0.000
0.000 6.756 0.000
0.000 0.000 6.625
Sr K Cl
2 1 1
direct
0.000 0.000 0.000
0.500 0.500 0.000
0.000 0.500 0.500
0.500 0.000 0.500
```

Space group: Pmmm, No. 47
Polymorph energy (0 for the lowest one), meV per atom: 412.7
Formation energy without anion corrections, eV/f.u.: -1.67

The following is a PBE calculation of CeBeAl after structural relaxation, from Alexandria via LeMat-Bulk.

```
CeBeAl
1.0
4.434 0.000 0.000
2.217 3.840 0.000
2.217 1.280 3.620
Be Ce Al
1 1 1
direct
0.250 0.250 0.250
0.000 0.000 0.000
0.500 0.500 0.500
```

Space group: F-43m, No. 216
Formation energy from the elements, eV/f.u.: -0.2
Polymorph energy (0 for the lowest one), meV per atom: 46.9